Entry 1:
This record from the Alexandria database describes a geometry-optimized LaPmLuGa structure. The functional is PBE.

Structure (CIF):
```
data_LaPmLuGa
_symmetry_space_group_name_H-M 'P 1'
_symmetry_Int_Tables_number 1
_cell_length_a 5.431
_cell_length_b 5.431
_cell_length_c 5.431
_cell_angle_alpha 60.00
_cell_angle_beta 60.00
_cell_angle_gamma 60.00
loop_
_symmetry_equiv_pos_as_xyz
'x,y,z'
loop_
_atom_site_label
_atom_site_type_symbol
_atom_site_fract_x
_atom_site_fract_y
_atom_site_fract_z
Lu1 Lu 0.000 0.000 0.000
La1 La 0.750 0.750 0.750
Ga1 Ga 0.500 0.500 0.500
Pm1 Pm 0.250 0.250 0.250
```

Properties
The crystal system is cubic. The formation energy comes out at -0.5 eV per formula unit.

***

Entry 2:
This record from the Alexandria database describes a geometry-optimized Rb3HfB structure. The functional is PBE.

Structure (CIF):
```
data_Rb3HfB
_symmetry_space_group_name_H-M 'P 1'
_symmetry_Int_Tables_number 1
_cell_length_a 6.301
_cell_length_b 6.301
_cell_length_c 6.301
_cell_angle_alpha 90.00
_cell_angle_beta 90.00
_cell_angle_gamma 90.00
loop_
_symmetry_equiv_pos_as_xyz
'x,y,z'
loop_
_atom_site_label
_atom_site_type_symbol
_atom_site_fract_x
_atom_site_fract_y
_atom_site_fract_z
Hf1 Hf 0.500 0.500 0.500
Rb1 Rb 0.000 0.500 0.000
B1 B 0.000 0.000 0.000
Rb2 Rb 0.000 0.000 0.500
Rb3 Rb 0.500 0.000 0.000
```

Properties
The calculation puts the energy above the lowest structure with this stoichiometry at 0.000 eV/atom. The crystal system is cubic. The formation energy comes out at 8.7 eV per formula unit.

***

Entry 3:
This record from the Alexandria database describes a geometry-optimized PaCdSnAu structure. The functional is PBE.

Structure (CIF):
```
data_PaCdSnAu
_symmetry_space_group_name_H-M 'P 1'
_symmetry_Int_Tables_number 1
_cell_length_a 5.090
_cell_length_b 5.090
_cell_length_c 5.090
_cell_angle_alpha 60.00
_cell_angle_beta 60.00
_cell_angle_gamma 60.00
loop_
_symmetry_equiv_pos_as_xyz
'x,y,z'
loop_
_atom_site_label
_atom_site_type_symbol
_atom_site_fract_x
_atom_site_fract_y
_atom_site_fract_z
Pa1 Pa 0.250 0.250 0.250
Sn1 Sn 0.500 0.500 0.500
Au1 Au 0.000 0.000 0.000
Cd1 Cd 0.750 0.750 0.750
```

Properties
The crystal system is cubic. The formation energy comes out at -0.6 eV per formula unit.

***

Entry 4:
This record from the Alexandria database describes a geometry-optimized NaCdHPb2 structure. The functional is PBE.

Structure (CIF):
```
data_NaCdHPb2
_symmetry_space_group_name_H-M 'P 1'
_symmetry_Int_Tables_number 1
_cell_length_a 5.276
_cell_length_b 5.276
_cell_length_c 4.199
_cell_angle_alpha 90.00
_cell_angle_beta 90.00
_cell_angle_gamma 90.00
loop_
_symmetry_equiv_pos_as_xyz
'x,y,z'
loop_
_atom_site_label
_atom_site_type_symbol
_atom_site_fract_x
_atom_site_fract_y
_atom_site_fract_z
Pb1 Pb 0.500 0.000 0.000
Na1 Na 0.500 0.500 0.500
H1 H 0.000 0.000 0.000
Pb2 Pb 0.000 0.500 0.000
Cd1 Cd 0.000 0.000 0.500
```

Properties
The calculation puts the energy above the lowest structure with this stoichiometry at 0.068 eV/atom. The crystal system is tetragonal.

***

Entry 5:
This record from the Alexandria database describes a geometry-optimized Y2CrCu structure. The functional is PBE.

Structure (CIF):
```
data_Y2CrCu
_symmetry_space_group_name_H-M 'P 1'
_symmetry_Int_Tables_number 1
_cell_length_a 4.481
_cell_length_b 3.774
_cell_length_c 5.711
_cell_angle_alpha 70.71
_cell_angle_beta 90.00
_cell_angle_gamma 90.00
loop_
_symmetry_equiv_pos_as_xyz
'x,y,z'
loop_
_atom_site_label
_atom_site_type_symbol
_atom_site_fract_x
_atom_site_fract_y
_atom_site_fract_z
Cr1 Cr 0.000 0.691 0.491
Cu1 Cu 0.500 0.559 0.758
Y1 Y 0.500 0.271 0.332
Y2 Y 0.000 0.978 0.919
```

Properties
The crystal system is orthorhombic. The formation energy comes out at 0.4 eV per formula unit.

***

Entry 6:
This record from the Alexandria database describes a geometry-optimized BaUAgSe4 structure. The functional is PBE.

Structure (CIF):
```
data_BaUAgSe4
_symmetry_space_group_name_H-M 'P 1'
_symmetry_Int_Tables_number 1
_cell_length_a 7.415
_cell_length_b 5.910
_cell_length_c 9.307
_cell_angle_alpha 90.00
_cell_angle_beta 110.15
_cell_angle_gamma 90.00
loop_
_symmetry_equiv_pos_as_xyz
'x,y,z'
loop_
_atom_site_label
_atom_site_type_symbol
_atom_site_fract_x
_atom_site_fract_y
_atom_site_fract_z
Se1 Se 0.456 0.750 0.134
Se2 Se 0.960 0.483 0.290
Se3 Se 0.040 0.517 0.710
Se4 Se 0.443 0.750 0.594
Ag1 Ag 0.753 0.250 0.701
U1 U 0.729 0.750 0.442
Ag2 Ag 0.247 0.750 0.299
Se5 Se 0.557 0.250 0.406
Ba1 Ba 0.741 0.750 0.946
Ba2 Ba 0.259 0.250 0.054
U2 U 0.271 0.250 0.558
Se6 Se 0.960 0.017 0.290
Se7 Se 0.040 0.983 0.710
Se8 Se 0.544 0.250 0.866
```

Properties
The crystal system is monoclinic.

***

no.,energy (eV/atom)
1,-4.437
2,-2.169
3,-4.575
4,-2.456
5,-6.552
6,-5.347